{
  "formula": "Na2InMoO6",
  "functional": "GGA+U",
  "state": "optimized geometry",
  "final_energy_ev_per_atom": -5.705,
  "rho_g_cm3": 4.5,
  "lattice_angstrom": [[-1.231, 0.881, -5.396], [-1.103, -4.342, -3.368], [-5.391, -0.838, -1.817]],
  "species": ["Mo", "Na", "Na", "O", "O", "O", "O", "O", "O", "In"],
  "fractional_positions": [[0.310, 0.310, 0.070], [0.546, 0.546, 0.363], [0.049, 0.049, 0.852], [0.632, 0.100, 0.791], [0.478, 0.631, 0.791], [0.564, 0.163, 0.268], [0.005, 0.564, 0.267], [0.163, 0.006, 0.268], [0.100, 0.477, 0.791], [0.815, 0.815, 0.555]]
}